Below is a geometry-optimized Ba2LiV2Si4O14 structure, with properties calculated at the PBE with a Hubbard U level.

Energy above the most stable polymorph in this dataset, meV/atom: 68

a b c (Å): 8.493 8.493 7.333
angles (deg): 90.00 90.00 142.13
Last column: magnetic moment on the atom in μB.
Atoms (fractional coordinates):
O: 0.516 0.484 0.272  0.00
O: 0.023 0.977 0.000  -0.04
V: 0.120 0.880 0.500  1.09
O: 0.633 0.367 0.000  0.00
O: 0.135 0.389 0.191  0.00
O: 0.611 0.865 0.809  0.00
O: 0.516 0.484 0.728  0.00
V: 0.912 0.088 0.000  1.90
O: 0.415 0.098 0.687  0.00
Ba: 0.172 0.828 0.000  0.01
O: 0.415 0.098 0.313  0.00
Ba: 0.807 0.193 0.500  0.00
O: 0.135 0.389 0.809  0.00
O: 0.019 0.981 0.500  -0.13
Si: 0.416 0.584 0.286  0.00
O: 0.611 0.865 0.191  0.00
Si: 0.614 0.386 0.230  0.00
Li: 0.348 0.652 0.000  0.00
O: 0.902 0.585 0.687  0.00
Si: 0.614 0.386 0.770  0.00
Si: 0.416 0.584 0.714  0.00
O: 0.384 0.616 0.500  0.00
O: 0.902 0.585 0.313  0.00